Record 1
## PuB2Os (PBE-GGA)

Data for PuB2Os after structural relaxation.

Unit cell a=5.7586 b=5.3628 c=6.4467 alpha=90.00 beta=90.00 gamma=90.00
Space group Pnma (No. 62)
Unique sites:
1 Pu 0.0020 0.2500 0.1650 [4 per cell]
2 B 0.1345 0.5843 0.4635 [8 per cell]
3 Os 0.1869 0.2500 0.6858 [4 per cell]

Calculated values
V in A^3/atom: 12.44
Calculated formation energy in meV/atom: -415.6
E above lowest polymorph in kJ/mol of formula units: 0
Spin magnetization in Bohr magnetons per cell: 17.04
Density of states at the Fermi level in states/eV per cell: 28.1

***

Record 2
## PuB2Os (PBE-GGA)

Data for PuB2Os after structural relaxation.

Unit cell a=3.2491 b=3.2491 c=17.1945 alpha=90.00 beta=90.00 gamma=120.00
Space group R-3m (No. 166, hexagonal axes)
Unique sites:
1 Pu 0.0000 0.0000 0.0000 [3 per cell]
2 B 0.0000 0.0000 0.2335 [6 per cell]
3 Os 0.0000 0.0000 0.5000 [3 per cell]

Calculated values
V in A^3/atom: 13.10
Calculated formation energy in meV/atom: 70.1
E above lowest polymorph in kJ/mol of formula units: 187
Spin magnetization in Bohr magnetons per cell: 13.06
Density of states at the Fermi level in states/eV per cell: 20.0

***

Record 3
## PuB2Os2 (PBE-GGA)

Data for PuB2Os2 after structural relaxation.

Unit cell a=3.8708 b=3.8708 c=9.6009 alpha=90.00 beta=90.00 gamma=90.00
Space group I4/mmm (No. 139)
Unique sites:
1 Pu 0.0000 0.0000 0.0000 [2 per cell]
2 B 0.0000 0.0000 0.3543 [4 per cell]
3 Os 0.0000 0.5000 0.2500 [4 per cell]

Calculated values
V in A^3/atom: 14.38
Calculated formation energy in meV/atom: -180.2
Spin magnetization in Bohr magnetons per cell: 9.34
Density of states at the Fermi level in states/eV per cell: 25.1

***

Record 4
## PuB4Os (PBE-GGA)

Data for PuB4Os after structural relaxation.

Unit cell a=5.9997 b=11.6225 c=3.5409 alpha=90.00 beta=90.00 gamma=90.00
Space group Pbam (No. 55)
Unique sites:
1 Pu 0.1273 0.1500 0.0000 [4 per cell]
2 B 0.0273 0.6917 0.5000 [4 per cell]
3 B 0.1140 0.5468 0.5000 [4 per cell]
4 B 0.1353 0.9688 0.5000 [4 per cell]
5 B 0.2130 0.8131 0.5000 [4 per cell]
6 Os 0.1386 0.4075 0.0000 [4 per cell]

Calculated values
V in A^3/atom: 10.29
Calculated formation energy in meV/atom: -484.7
Spin magnetization in Bohr magnetons per cell: 18.66
Density of states at the Fermi level in states/eV per cell: 23.8